(1)
# PBE CaPrNd2Se4, optimized geometry
# Electronic total energy: -5.65 eV per atom
data_CaPrNd2Se4
_cell_length_a 7.3387
_cell_length_b 4.2066
_cell_length_c 7.3536
_cell_angle_alpha 90.00
_cell_angle_beta 109.07
_cell_angle_gamma 90.00
_symmetry_space_group_name_H-M 'P 1 2/m 1'
_symmetry_Int_Tables_number 10
_symmetry_space_group_name_Hall '-P 2y'
loop_
_atom_site_label
_atom_site_type_symbol
_atom_site_fract_x
_atom_site_fract_y
_atom_site_fract_z
Ca1 Ca 0.0000 0.0000 0.0000
Pr1 Pr 0.0000 0.5000 0.5000
Nd1 Nd 0.5000 0.0000 0.5000
Nd2 Nd 0.5000 0.5000 0.0000
Se1 Se 0.2458 0.5000 0.2438
Se2 Se 0.2484 0.0000 0.7555

(2)
# PBE CaPrNd5Sm2, optimized geometry
# ΔE_f: 2.4 eV/f.u.
data_CaPrNd5Sm2
_cell_length_a 9.3084
_cell_length_b 9.3084
_cell_length_c 15.1162
_cell_angle_alpha 90.00
_cell_angle_beta 90.00
_cell_angle_gamma 90.00
_symmetry_space_group_name_H-M 'I 4/m c m'
_symmetry_Int_Tables_number 140
_symmetry_space_group_name_Hall '-I 4 2c'
loop_
_atom_site_label
_atom_site_type_symbol
_atom_site_fract_x
_atom_site_fract_y
_atom_site_fract_z
Ca1 Ca 0.0000 0.5000 0.2500
Pr1 Pr 0.0000 0.0000 0.2500
Nd1 Nd 0.0000 0.0000 0.0000
Nd2 Nd 0.2041 0.2959 0.1286
Sm1 Sm 0.1122 0.3878 0.5000

(3)
# PBE CaPr4Nd2Sm2, optimized geometry
# ΔE_f: 0.3 eV/f.u.
data_CaPr4Nd2Sm2
_cell_length_a 19.3149
_cell_length_b 3.6864
_cell_length_c 9.1108
_cell_angle_alpha 90.00
_cell_angle_beta 90.01
_cell_angle_gamma 90.00
_symmetry_space_group_name_H-M 'C 1 2/m 1'
_symmetry_Int_Tables_number 12
_symmetry_space_group_name_Hall '-C 2y'
loop_
_atom_site_label
_atom_site_type_symbol
_atom_site_fract_x
_atom_site_fract_y
_atom_site_fract_z
Ca1 Ca 0.0000 0.0000 0.0000
Pr1 Pr 0.0565 0.5000 0.6564
Pr2 Pr 0.2209 0.0000 0.6706
Nd1 Nd 0.1132 0.0000 0.3330
Sm1 Sm 0.1710 0.5000 0.9991

(4)
# PBE CaPrNdSm, optimized geometry
# Energy above the lowest structure with this stoichiometry: 0 meV per atom
# ΔE_f: 0.1 eV/f.u.
data_CaPrNdSm
_cell_length_a 3.7057
_cell_length_b 3.7057
_cell_length_c 12.2517
_cell_angle_alpha 90.00
_cell_angle_beta 90.00
_cell_angle_gamma 120.00
_symmetry_space_group_name_H-M 'P 3 m 1'
_symmetry_Int_Tables_number 156
_symmetry_space_group_name_Hall 'P 3 -2"'
loop_
_atom_site_label
_atom_site_type_symbol
_atom_site_fract_x
_atom_site_fract_y
_atom_site_fract_z
Ca1 Ca 0.0000 0.0000 0.0000
Pr1 Pr 0.6667 0.3333 0.2629
Nd1 Nd 0.3333 0.6667 0.7392
Sm1 Sm 0.0000 0.0000 0.5022

(5)
# PBE CaPr3Nd6Sm2, optimized geometry
# ΔE_f: 0.4 eV/f.u.
data_CaPr3Nd6Sm2
_cell_length_a 6.4090
_cell_length_b 11.1114
_cell_length_c 12.2060
_cell_angle_alpha 90.00
_cell_angle_beta 100.09
_cell_angle_gamma 90.00
_symmetry_space_group_name_H-M 'C 1 2/m 1'
_symmetry_Int_Tables_number 12
_symmetry_space_group_name_Hall '-C 2y'
loop_
_atom_site_label
_atom_site_type_symbol
_atom_site_fract_x
_atom_site_fract_y
_atom_site_fract_z
Ca1 Ca 0.0000 0.0000 0.0000
Pr1 Pr 0.0000 0.1661 0.5000
Pr2 Pr 0.0000 0.5000 0.5000
Nd1 Nd 0.2448 0.5000 0.2505
Nd2 Nd 0.2460 0.3301 0.7500
Sm1 Sm 0.0000 0.3329 0.0000

(6)
# PBE CaPr2Nd3Sm6, optimized geometry
# ΔE_f: 0.4 eV/f.u.
data_CaPr2Nd3Sm6
_cell_length_a 6.3629
_cell_length_b 11.0257
_cell_length_c 12.1701
_cell_angle_alpha 90.00
_cell_angle_beta 100.07
_cell_angle_gamma 90.00
_symmetry_space_group_name_H-M 'C 1 2/m 1'
_symmetry_Int_Tables_number 12
_symmetry_space_group_name_Hall '-C 2y'
loop_
_atom_site_label
_atom_site_type_symbol
_atom_site_fract_x
_atom_site_fract_y
_atom_site_fract_z
Ca1 Ca 0.0000 0.0000 0.0000
Pr1 Pr 0.0000 0.3331 0.0000
Nd1 Nd 0.0000 0.1659 0.5000
Nd2 Nd 0.0000 0.5000 0.5000
Sm1 Sm 0.2463 0.3309 0.7472
Sm2 Sm 0.2471 0.5000 0.2533

(7)
# PBE CaPrNdSm, optimized geometry
# Energy above the lowest structure with this stoichiometry: 91 meV per atom
# ΔE_f: 0.5 eV/f.u.
data_CaPrNdSm
_cell_length_a 8.3433
_cell_length_b 8.3433
_cell_length_c 8.3433
_cell_angle_alpha 90.00
_cell_angle_beta 90.00
_cell_angle_gamma 90.00
_symmetry_space_group_name_H-M 'F -4 3 m'
_symmetry_Int_Tables_number 216
_symmetry_space_group_name_Hall 'F -4 2 3'
loop_
_atom_site_label
_atom_site_type_symbol
_atom_site_fract_x
_atom_site_fract_y
_atom_site_fract_z
Ca1 Ca 0.0000 0.0000 0.0000
Pr1 Pr 0.2500 0.2500 0.2500
Nd1 Nd 0.2500 0.2500 0.7500
Sm1 Sm 0.0000 0.0000 0.5000

(8)
# PBE CaPr4NdSm2, optimized geometry
# ΔE_f: 2.8 eV/f.u.
data_CaPr4NdSm2
_cell_length_a 14.0828
_cell_length_b 13.6563
_cell_length_c 6.9972
_cell_angle_alpha 90.00
_cell_angle_beta 119.71
_cell_angle_gamma 90.00
_symmetry_space_group_name_H-M 'C 1 2/c 1'
_symmetry_Int_Tables_number 15
_symmetry_space_group_name_Hall '-C 2yc'
loop_
_atom_site_label
_atom_site_type_symbol
_atom_site_fract_x
_atom_site_fract_y
_atom_site_fract_z
Ca1 Ca 0.0000 0.0000 0.0000
Pr1 Pr 0.0039 0.2517 0.0052
Pr2 Pr 0.2385 0.5003 0.4810
Nd1 Nd 0.2500 0.2500 0.5000
Sm1 Sm 0.0000 0.5000 0.0000
Sm2 Sm 0.2500 0.2500 0.0000

(9)
# PBE CaPr6Nd2Sm, optimized geometry
# ΔE_f: 1.2 eV/f.u.
data_CaPr6Nd2Sm
_cell_length_a 9.3318
_cell_length_b 15.7563
_cell_length_c 10.0771
_cell_angle_alpha 90.00
_cell_angle_beta 98.92
_cell_angle_gamma 90.00
_symmetry_space_group_name_H-M 'C 1 2/c 1'
_symmetry_Int_Tables_number 15
_symmetry_space_group_name_Hall '-C 2yc'
loop_
_atom_site_label
_atom_site_type_symbol
_atom_site_fract_x
_atom_site_fract_y
_atom_site_fract_z
Ca1 Ca 0.0000 0.0978 0.2500
Pr1 Pr 0.0598 0.3221 0.4478
Pr2 Pr 0.1069 0.1070 0.6223
Pr3 Pr 0.1984 0.2733 0.8222
Nd1 Nd 0.2500 0.0491 0.9572
Sm1 Sm 0.0000 0.4772 0.7500

(10)
# PBE CaPr5NdSm2, optimized geometry
# ΔE_f: 2.4 eV/f.u.
data_CaPr5NdSm2
_cell_length_a 9.4026
_cell_length_b 9.4026
_cell_length_c 15.0011
_cell_angle_alpha 90.00
_cell_angle_beta 90.00
_cell_angle_gamma 90.00
_symmetry_space_group_name_H-M 'I 4/m c m'
_symmetry_Int_Tables_number 140
_symmetry_space_group_name_Hall '-I 4 2c'
loop_
_atom_site_label
_atom_site_type_symbol
_atom_site_fract_x
_atom_site_fract_y
_atom_site_fract_z
Ca1 Ca 0.0000 0.5000 0.2500
Pr1 Pr 0.0000 0.0000 0.0000
Pr2 Pr 0.2044 0.2956 0.1294
Nd1 Nd 0.0000 0.0000 0.2500
Sm1 Sm 0.1113 0.3887 0.5000

(11)
# PBE CaPr2Nd5Sm, optimized geometry
# ΔE_f: 2.4 eV/f.u.
data_CaPr2Nd5Sm
_cell_length_a 9.1397
_cell_length_b 9.1397
_cell_length_c 15.6509
_cell_angle_alpha 90.00
_cell_angle_beta 90.00
_cell_angle_gamma 90.00
_symmetry_space_group_name_H-M 'I 4/m c m'
_symmetry_Int_Tables_number 140
_symmetry_space_group_name_Hall '-I 4 2c'
loop_
_atom_site_label
_atom_site_type_symbol
_atom_site_fract_x
_atom_site_fract_y
_atom_site_fract_z
Ca1 Ca 0.0000 0.5000 0.2500
Pr1 Pr 0.1160 0.3840 0.0000
Nd1 Nd 0.0000 0.0000 0.0000
Nd2 Nd 0.2078 0.2922 0.3664
Sm1 Sm 0.0000 0.0000 0.2500

(12)
# PBE CaPr3Nd2Sm6, optimized geometry
# ΔE_f: 0.4 eV/f.u.
data_CaPr3Nd2Sm6
_cell_length_a 6.3695
_cell_length_b 11.0410
_cell_length_c 12.1753
_cell_angle_alpha 90.00
_cell_angle_beta 100.09
_cell_angle_gamma 90.00
_symmetry_space_group_name_H-M 'C 1 2/m 1'
_symmetry_Int_Tables_number 12
_symmetry_space_group_name_Hall '-C 2y'
loop_
_atom_site_label
_atom_site_type_symbol
_atom_site_fract_x
_atom_site_fract_y
_atom_site_fract_z
Ca1 Ca 0.0000 0.0000 0.0000
Pr1 Pr 0.0000 0.1658 0.5000
Pr2 Pr 0.0000 0.5000 0.5000
Nd1 Nd 0.0000 0.3331 0.0000
Sm1 Sm 0.2461 0.5000 0.2517
Sm2 Sm 0.2466 0.3307 0.7487

Results for DOS(E_F): 3.171 12.518 13.319 6.022 17.735 17.648 7.380 17.187 15.252 12.875 14.185 18.018 (in states/eV/f.u., following the order of the records).